4
Lattice="8.2472 0.0215 0.0452 -3.1864 4.0082 -0.0107 1.8743 1.4943 3.1390" Properties=species:S:1:pos:R:3 comment="La2ZnAs PBE optimized geometry" final_energy_ev_per_cell=-18.90 dos_at_fermi_per_ev_atom=0.674 polymorph_energy_kcal_per_mol_atoms=0.96 pbc="T T T"
As 2.5304 2.0149 0.0173
Zn -0.6561 2.7513 1.5641
La 0.0000 0.0000 0.0000
La 5.0608 0.7579 1.5921

---

16
Lattice="-4.1802 3.7172 -3.9293 -5.0590 -1.1784 4.2672 1.6757 5.6273 3.5407" Properties=species:S:1:pos:R:3 comment="HPb PBE optimized geometry" final_energy_ev_per_cell=-50.80 dos_at_fermi_per_ev_atom=0.128 polymorph_energy_kcal_per_mol_atoms=0.00 pbc="T T T"
Pb -8.0387 2.1644 0.6584
Pb -5.0718 4.5896 1.6224
H -8.2581 4.1794 1.2186
H -3.6632 5.0232 3.0750
Pb -2.7723 6.0509 4.6789
Pb -1.9373 2.8211 2.7781
Pb -4.4555 2.4842 4.9216
Pb -3.7748 8.1450 1.9967
H -2.8267 7.1449 -1.3654
Pb -1.8248 1.1133 -0.7834
H -3.7623 2.9931 1.6488
H -1.2356 6.3820 1.0331
H -7.1565 1.7729 2.5829
H -1.9700 0.7474 2.4305
H -1.3815 4.4213 4.8910
Pb -2.3786 5.2956 -0.3581

---

5
Lattice="4.5618 0.0000 0.0000 0.0000 4.5618 0.0000 0.0000 0.0000 4.5618" Properties=species:S:1:pos:R:3 comment="LaV4 PBE optimized geometry" final_energy_ev_per_cell=-32.49 dos_at_fermi_per_ev_atom=1.487 pbc="T T T"
La 2.2809 2.2809 2.2809
V 2.2809 0.0000 2.2809
V 2.2809 2.2809 0.0000
V 0.0000 0.0000 0.0000
V 0.0000 2.2809 2.2809

---

26
Lattice="5.0031 0.0000 0.0000 -2.5016 6.6018 -2.4248 0.0000 -2.8890 13.3314" Properties=species:S:1:pos:R:3 comment="Hg2H3F8 PBE optimized geometry" final_energy_ev_per_cell=-86.58 dos_at_fermi_per_ev_atom=0.483 pbc="T T T"
F -0.3556 4.2500 -0.7421
F 0.0291 -0.0083 6.7323
H 4.2412 0.0869 7.3351
H -1.7397 3.6260 3.5715
H 0.3126 -2.1668 9.9986
F 1.8583 1.8672 1.5158
Hg 0.7921 2.0402 3.7696
F 0.3335 -1.1240 9.5194
Hg -0.7921 0.5957 10.4353
F 2.4725 3.7212 4.1742
F 2.1459 0.9073 4.9830
F 2.1680 4.8368 1.3871
Hg 1.7094 1.6726 7.1370
H 4.6905 -0.7223 3.3329
H 1.7396 2.1814 10.2372
F -0.3335 0.3205 2.8537
F 0.3556 2.8055 5.9236
F 2.5306 2.2767 10.8400
F -0.0291 1.4362 0.0666
F -0.6432 3.2901 2.7251
F 2.8572 -0.5372 11.6487
F 2.8351 3.3923 8.0529
F 0.6432 1.8456 9.3908
Hg 3.2937 3.1172 0.4713
F 3.1448 0.4227 8.1815
H 0.7619 1.5314 0.6694

---

16
Lattice="8.7425 0.0000 0.0000 0.0000 5.8213 0.0000 0.0000 0.0000 8.1344" Properties=species:S:1:pos:R:3 comment="NdPt2Au PBE optimized geometry" final_energy_ev_per_cell=-85.28 dos_at_fermi_per_ev_atom=0.481 pbc="T T T"
Pt 6.5163 4.3660 7.9850
Pt 6.5163 1.4553 0.1494
Au 0.0000 4.3660 5.6009
Nd 4.3712 4.3660 1.5919
Nd 4.3712 1.4553 6.5425
Au 4.3712 1.4553 1.8124
Pt 2.2261 4.3660 7.9850
Nd 0.0000 1.4553 5.6184
Pt 0.0000 0.0000 0.0000
Au 4.3712 4.3660 6.3221
Nd 0.0000 4.3660 2.5160
Pt 4.3712 0.0000 4.0672
Pt 2.2261 1.4553 0.1494
Pt 4.3712 2.9106 4.0672
Pt 0.0000 2.9106 0.0000
Au 0.0000 1.4553 2.5336

---

10
Lattice="-2.8287 2.0634 -4.8569 3.9869 -2.7746 -3.5008 -1.8655 -3.8119 -4.2235" Properties=species:S:1:pos:R:3 comment="Ce2BeSiNi6 PBE optimized geometry" raw_formation_energy_kcal_per_mol_atoms=-5.20 final_energy_ev_per_cell=-57.96 dos_at_fermi_per_ev_atom=1.215 pbc="T T T"
Ni -1.0495 0.8004 -4.5029
Ni 0.3024 -0.1857 -2.1819
Ni -0.5891 -2.0073 -4.2002
Si 0.0000 0.0000 0.0000
Ni -0.1182 -2.5158 -8.3810
Ce 1.3502 -3.4711 -5.9515
Be 0.5791 -0.3556 -4.1788
Ni 0.8558 -0.5255 -6.1757
Ce -2.0576 -1.0521 -6.6296
Ni 2.2076 -1.5116 -3.8548

---

10
Lattice="9.0102 0.0000 0.0000 0.0000 9.0102 0.0000 0.0000 0.0000 2.9706" Properties=species:S:1:pos:R:3 comment="KMg2Al2 PBE optimized geometry" final_energy_ev_per_cell=-22.58 dos_at_fermi_per_ev_atom=0.481 polymorph_energy_kcal_per_mol_atoms=0.00 pbc="T T T"
K 4.5051 4.5051 0.0000
Mg 7.8348 5.6806 0.0000
Al 7.5674 3.0623 1.4853
Mg 5.6806 1.1755 0.0000
Mg 3.3296 7.8348 0.0000
Mg 1.1755 3.3296 0.0000
Al 3.0623 1.4429 1.4853
Al 5.9480 7.5674 1.4853
K 0.0000 0.0000 0.0000
Al 1.4429 5.9480 1.4853

---

4
Lattice="2.2332 0.0000 8.4316 -1.1166 1.9340 8.4316 -1.1166 -1.9340 8.4316" Properties=species:S:1:pos:R:3 comment="CaPSe2 PBE optimized geometry" raw_formation_energy_kcal_per_mol_atoms=-4.50 final_energy_ev_per_cell=-15.16 dos_at_fermi_per_ev_atom=0.305 pbc="T T T"
P 0.0000 0.0000 12.6474
Ca 0.0000 0.0000 0.0000
Se 0.0000 0.0000 2.8312
Se 0.0000 0.0000 22.4637

---

4
Lattice="3.3671 0.0000 0.0000 0.0000 3.3671 0.0000 0.0000 0.0000 5.8285" Properties=species:S:1:pos:R:3 comment="BeSbPt2 PBE optimized geometry" raw_formation_energy_kcal_per_mol_atoms=-6.82 final_energy_ev_per_cell=-21.11 dos_at_fermi_per_ev_atom=0.309 polymorph_energy_kcal_per_mol_atoms=2.56 pbc="T T T"
Pt 1.6835 1.6835 1.4606
Be 1.6835 1.6835 4.9629
Pt 0.0000 0.0000 5.3961
Sb 0.0000 0.0000 2.7517

---

12
Lattice="5.6227 0.0000 0.0008 0.0000 4.0688 0.0000 -2.2192 0.0000 14.1718" Properties=species:S:1:pos:R:3 comment="LaZrOs PBE optimized geometry" final_energy_ev_per_cell=-100.16 dos_at_fermi_per_ev_atom=1.199 polymorph_energy_kcal_per_mol_atoms=3.70 pbc="T T T"
La 1.4451 0.0000 1.1970
Zr 0.2341 0.0000 4.5617
Zr 3.1694 0.0000 9.6109
Zr 4.2790 2.0344 2.5250
Os 3.2160 0.0000 3.9097
La 1.9584 0.0000 12.9756
La 3.0680 2.0344 5.8897
Os 0.1875 0.0000 10.2629
Os 2.1064 2.0344 10.9956
Zr -0.8755 2.0344 11.6476
La 0.3355 2.0344 8.2829
Os 1.2971 2.0344 3.1770

---

4
Lattice="-1.8536 -1.9893 2.1653 5.3483 -2.8614 1.9494 -1.1796 6.1474 1.8482" Properties=species:S:1:pos:R:3 comment="Eu3H PBE optimized geometry" final_energy_ev_per_cell=-34.31 dos_at_fermi_per_ev_atom=0.730 polymorph_energy_kcal_per_mol_atoms=0.00 pbc="T T T"
Eu -1.3458 0.5725 2.1638
Eu 0.9768 -2.0131 1.7765
H 0.2046 -0.1094 0.0746
Eu 2.4442 1.3751 3.3556

---

5
Lattice="-3.5382 0.8223 -1.8732 1.1855 -2.2257 -3.2163 -1.6672 -3.3277 1.6883" Properties=species:S:1:pos:R:3 comment="RuPbC3 PBE optimized geometry" final_energy_ev_per_cell=-31.02 dos_at_fermi_per_ev_atom=0.464 polymorph_energy_kcal_per_mol_atoms=0.00 pbc="T T T"
C -1.7691 0.4111 -0.9366
Ru 0.0000 0.0000 0.0000
C 0.5928 -1.1128 -1.6081
C -0.8336 -1.6639 0.8441
Pb -2.0099 -2.3656 -1.7006